A.
Here is a relaxed structure of HoThMg from Alexandria via LeMat-Bulk. Energies are from PBE-GGA.

Values from the calculation:
- Theoretical density: 7.90 g/cm³
- Total magnetization: 0.00 μB/f.u.

a = 7.4950 Å, b = 7.4950 Å, c = 7.4950 Å
α = 152.67°, β = 152.67°, γ = 39.03°
Positions (direct):
Ho  0.0000  0.0000  0.0000
Th  0.6747  0.6747  0.0000
Mg  0.3430  0.3430  0.0000

B.
Here is a relaxed structure of HoThMg from Alexandria via LeMat-Bulk. Energies are from PBE-GGA.

Values from the calculation:
- Theoretical density: 7.87 g/cm³
- Total magnetization: 0.00 μB/f.u.

a = 3.5127 Å, b = 3.5127 Å, c = 16.6538 Å
α = 90.16°, β = 90.16°, γ = 59.86°
Positions (direct):
Ho  0.0012  0.0012  0.2589
Ho  0.9988  0.9988  0.7411
Th  0.3332  0.3332  0.9137
Th  0.6668  0.6668  0.0863
Mg  0.3341  0.3341  0.4246
Mg  0.6659  0.6659  0.5754

C.
Here is a relaxed structure of HoThMg from Alexandria via LeMat-Bulk. Energies are from PBE-GGA.

Values from the calculation:
- Theoretical density: 8.05 g/cm³
- Total magnetization: 0.00 μB/f.u.

a = 3.5464 Å, b = 3.5464 Å, c = 13.8142 Å
α = 90.00°, β = 90.00°, γ = 90.00°
Positions (direct):
Ho  0.2500  0.2500  0.2302
Ho  0.7500  0.7500  0.7698
Th  0.2500  0.2500  0.5902
Th  0.7500  0.7500  0.4098
Mg  0.2500  0.2500  0.9336
Mg  0.7500  0.7500  0.0664

D.
Here is a relaxed structure of HoThMg from Alexandria via LeMat-Bulk. Energies are from PBE-GGA.

Values from the calculation:
- Theoretical density: 7.80 g/cm³
- Total magnetization: 0.00 μB/f.u.

a = 3.4880 Å, b = 3.4880 Å, c = 8.5126 Å
α = 90.00°, β = 90.00°, γ = 120.00°
Positions (direct):
Ho  0.0000  0.0000  0.0000
Th  0.3333  0.6667  0.6622
Mg  0.6667  0.3333  0.3253

Stability, highest: C

A.
Here is a relaxed structure of Ho4ThMg from Alexandria via LeMat-Bulk. Energies are from PBE-GGA.

Values from the calculation:
- Theoretical density: 8.42 g/cm³
- Total magnetization: 0.00 μB/f.u.

a = 10.0379 Å, b = 10.0379 Å, c = 5.6930 Å
α = 91.56°, β = 91.56°, γ = 140.78°
Positions (direct):
Ho  0.0380  0.4573  0.2523
Ho  0.2043  0.2810  0.1713
Ho  0.2810  0.2043  0.6713
Ho  0.4573  0.0380  0.7523
Ho  0.5427  0.9620  0.2477
Ho  0.7190  0.7957  0.3287
Ho  0.7957  0.7190  0.8287
Ho  0.9620  0.5427  0.7477
Th  0.3751  0.6249  0.7500
Th  0.6249  0.3751  0.2500
Mg  0.1318  0.8682  0.2500
Mg  0.8682  0.1318  0.7500

B.
Here is a relaxed structure of Ho4ThMg from Alexandria via LeMat-Bulk. Energies are from PBE-GGA.

Values from the calculation:
- Theoretical density: 8.41 g/cm³
- Total magnetization: 0.00 μB/f.u.

a = 3.5627 Å, b = 3.5627 Å, c = 14.2540 Å
α = 90.00°, β = 90.00°, γ = 90.00°
Positions (direct):
Ho  0.0000  0.0000  0.1520
Ho  0.0000  0.0000  0.8480
Ho  0.5000  0.5000  0.3279
Ho  0.5000  0.5000  0.6721
Th  0.0000  0.0000  0.5000
Mg  0.5000  0.5000  0.0000

Stability, highest: B

A.
Here is a relaxed structure of Ho8ThMg2 from Alexandria via LeMat-Bulk. Energies are from PBE-GGA.

Values from the calculation:
- Theoretical density: 8.06 g/cm³
- Total magnetization: 0.00 μB/f.u.

a = 9.1090 Å, b = 9.1090 Å, c = 7.8717 Å
α = 106.55°, β = 106.55°, γ = 31.88°
Positions (direct):
Ho  0.0479  0.0479  0.2350
Ho  0.1376  0.1376  0.6917
Ho  0.3180  0.3180  0.5735
Ho  0.4069  0.4069  0.0434
Ho  0.5931  0.5931  0.9566
Ho  0.6820  0.6820  0.4265
Ho  0.8624  0.8624  0.3083
Ho  0.9521  0.9521  0.7650
Th  0.5000  0.5000  0.5000
Mg  0.2280  0.2280  0.1354
Mg  0.7720  0.7720  0.8646

B.
Here is a relaxed structure of Ho8ThMg2 from Alexandria via LeMat-Bulk. Energies are from PBE-GGA.

Values from the calculation:
- Theoretical density: 7.78 g/cm³
- Total magnetization: 0.00 μB/f.u.

a = 8.8529 Å, b = 8.8529 Å, c = 5.5487 Å
α = 101.38°, β = 101.38°, γ = 121.01°
Positions (direct):
Ho  0.0943  0.3152  0.6278
Ho  0.2170  0.7830  0.0000
Ho  0.3152  0.0943  0.6278
Ho  0.4063  0.4063  0.2053
Ho  0.5937  0.5937  0.7947
Ho  0.6848  0.9057  0.3722
Ho  0.7830  0.2170  0.0000
Ho  0.9057  0.6848  0.3722
Th  0.0000  0.0000  0.0000
Mg  0.3083  0.6917  0.5000
Mg  0.6917  0.3083  0.5000

Stability, highest: A

A.
Here is a relaxed structure of YHoThMg from Alexandria via LeMat-Bulk. Energies are from PBE-GGA.

Values from the calculation:
- Theoretical density: 7.09 g/cm³
- Total magnetization: 0.01 μB/f.u.

a = 5.5278 Å, b = 5.5278 Å, c = 5.5278 Å
α = 60.00°, β = 60.00°, γ = 60.00°
Positions (direct):
Y  0.0000  0.0000  0.0000
Ho  0.2500  0.2500  0.2500
Th  0.5000  0.5000  0.5000
Mg  0.7500  0.7500  0.7500

B.
Here is a relaxed structure of YHoThMg from Alexandria via LeMat-Bulk. Energies are from PBE-GGA.

Values from the calculation:
- Theoretical density: 7.15 g/cm³
- Total magnetization: 0.00 μB/f.u.

a = 3.5931 Å, b = 3.5931 Å, c = 9.1753 Å
α = 90.00°, β = 90.00°, γ = 90.00°
Positions (direct):
Y  0.0000  0.0000  0.0000
Ho  0.0000  0.0000  0.4771
Th  0.5000  0.5000  0.7362
Mg  0.5000  0.5000  0.2401

Stability, highest: B

A.
Here is a relaxed structure of Ho2MgTi from Alexandria via LeMat-Bulk. Energies are from PBE-GGA.

Values from the calculation:
- Theoretical density: 6.52 g/cm³
- Total magnetization: 2.33 μB/f.u.

a = 5.3657 Å, b = 5.3657 Å, c = 3.5575 Å
α = 90.00°, β = 90.00°, γ = 90.00°
Positions (direct):
Ho  0.0000  0.5000  0.0000
Ho  0.5000  0.0000  0.0000
Mg  0.0000  0.0000  0.5000
Ti  0.5000  0.5000  0.5000

B.
Here is a relaxed structure of Ho2MgTi from Alexandria via LeMat-Bulk. Energies are from PBE-GGA.

Values from the calculation:
- Theoretical density: 6.59 g/cm³
- Total magnetization: 2.17 μB/f.u.

a = 5.2318 Å, b = 5.2318 Å, c = 5.2318 Å
α = 60.00°, β = 60.00°, γ = 60.00°
Positions (direct):
Ho  0.2500  0.2500  0.2500
Ho  0.7500  0.7500  0.7500
Mg  0.0000  0.0000  0.0000
Ti  0.5000  0.5000  0.5000

Stability, highest: B

A.
Here is a relaxed structure of HoMg2Tl2 from Alexandria via LeMat-Bulk. Energies are from PBE-GGA.

Values from the calculation:
- Theoretical density: 7.23 g/cm³
- Total magnetization: 0.00 μB/f.u.

a = 5.0276 Å, b = 5.0276 Å, c = 13.0500 Å
α = 90.00°, β = 90.00°, γ = 120.00°
Positions (direct):
Ho  0.0000  0.0000  0.2500
Ho  0.0000  0.0000  0.7500
Mg  0.0000  0.0000  0.0000
Mg  0.0000  0.0000  0.5000
Mg  0.3333  0.6667  0.2500
Mg  0.6667  0.3333  0.7500
Tl  0.3333  0.6667  0.6185
Tl  0.3333  0.6667  0.8815
Tl  0.6667  0.3333  0.1185
Tl  0.6667  0.3333  0.3815

B.
Here is a relaxed structure of HoMg2Tl2 from Alexandria via LeMat-Bulk. Energies are from PBE-GGA.

Values from the calculation:
- Theoretical density: 8.05 g/cm³
- Total magnetization: 0.00 μB/f.u.

a = 7.1983 Å, b = 7.1983 Å, c = 7.1983 Å
α = 143.97°, β = 143.97°, γ = 51.87°
Positions (direct):
Ho  0.0000  0.0000  0.0000
Mg  0.2500  0.7500  0.5000
Mg  0.7500  0.2500  0.5000
Tl  0.3905  0.3905  0.0000
Tl  0.6095  0.6095  0.0000

Stability, highest: B

A.
Here is a relaxed structure of HoMgTl2 from Alexandria via LeMat-Bulk. Energies are from PBE-GGA.

Values from the calculation:
- Theoretical density: 9.67 g/cm³
- Total magnetization: 0.00 μB/f.u.

a = 5.2569 Å, b = 5.2569 Å, c = 5.2569 Å
α = 60.00°, β = 60.00°, γ = 60.00°
Positions (direct):
Ho  0.0000  0.0000  0.0000
Mg  0.5000  0.5000  0.5000
Tl  0.2500  0.2500  0.2500
Tl  0.7500  0.7500  0.7500

B.
Here is a relaxed structure of HoMgTl2 from Alexandria via LeMat-Bulk. Energies are from PBE-GGA.

Values from the calculation:
- Theoretical density: 9.85 g/cm³
- Total magnetization: 0.00 μB/f.u.

a = 4.7579 Å, b = 4.7579 Å, c = 4.4523 Å
α = 90.00°, β = 90.00°, γ = 90.00°
Positions (direct):
Ho  0.0000  0.0000  0.0000
Mg  0.5000  0.5000  0.0000
Tl  0.0000  0.5000  0.5000
Tl  0.5000  0.0000  0.5000

C.
Here is a relaxed structure of HoMgTl2 from Alexandria via LeMat-Bulk. Energies are from PBE-GGA.

Values from the calculation:
- Theoretical density: 9.26 g/cm³
- Total magnetization: 0.00 μB/f.u.

a = 10.2638 Å, b = 10.2638 Å, c = 10.2638 Å
α = 19.68°, β = 19.68°, γ = 19.68°
Positions (direct):
Ho  0.0000  0.0000  0.0000
Mg  0.8339  0.8339  0.8339
Tl  0.4211  0.4211  0.4211
Tl  0.5798  0.5798  0.5798

Stability, highest: B

A.
Here is a relaxed structure of HoMg2Tl3 from Alexandria via LeMat-Bulk. Energies are from PBE-GGA.

Values from the calculation:
- Theoretical density: 8.22 g/cm³
- Total magnetization: 0.00 μB/f.u.

a = 10.9479 Å, b = 10.9479 Å, c = 9.5104 Å
α = 109.21°, β = 109.21°, γ = 18.10°
Positions (direct):
Ho  0.1816  0.1816  0.0292
Ho  0.8184  0.8184  0.9708
Mg  0.1892  0.1892  0.3849
Mg  0.4272  0.4272  0.8498
Mg  0.5728  0.5728  0.1502
Mg  0.8108  0.8108  0.6151
Tl  0.0600  0.0600  0.4408
Tl  0.2076  0.2076  0.7127
Tl  0.4350  0.4350  0.1992
Tl  0.5650  0.5650  0.8008
Tl  0.7924  0.7924  0.2873
Tl  0.9400  0.9400  0.5592

B.
Here is a relaxed structure of HoMg2Tl3 from Alexandria via LeMat-Bulk. Energies are from PBE-GGA.

Values from the calculation:
- Theoretical density: 9.01 g/cm³
- Total magnetization: 0.00 μB/f.u.

a = 8.0129 Å, b = 8.0129 Å, c = 3.9937 Å
α = 90.00°, β = 90.00°, γ = 143.55°
Positions (direct):
Ho  0.0000  0.0000  0.0000
Mg  0.3316  0.6684  0.0000
Mg  0.6684  0.3316  0.0000
Tl  0.1700  0.8300  0.5000
Tl  0.5000  0.5000  0.5000
Tl  0.8300  0.1700  0.5000

Stability, highest: B

A.
Here is a relaxed structure of Ho4Mg3Tl from Alexandria via LeMat-Bulk. Energies are from PBE-GGA.

Values from the calculation:
- Theoretical density: 7.11 g/cm³
- Total magnetization: 0.00 μB/f.u.

a = 3.4627 Å, b = 5.0262 Å, c = 12.5710 Å
α = 90.00°, β = 90.00°, γ = 90.00°
Positions (direct):
Ho  0.0000  0.0000  0.0000
Ho  0.0000  0.5000  0.3425
Ho  0.5000  0.0000  0.4993
Ho  0.5000  0.5000  0.8452
Mg  0.0000  0.0000  0.7368
Mg  0.0000  0.5000  0.6049
Mg  0.5000  0.5000  0.1046
Tl  0.5000  0.0000  0.2410

B.
Here is a relaxed structure of Ho4Mg3Tl from Alexandria via LeMat-Bulk. Energies are from PBE-GGA.

Values from the calculation:
- Theoretical density: 7.23 g/cm³
- Total magnetization: 0.00 μB/f.u.

a = 3.7794 Å, b = 3.7794 Å, c = 15.0662 Å
α = 90.00°, β = 90.00°, γ = 90.00°
Positions (direct):
Ho  0.0000  0.0000  0.1262
Ho  0.0000  0.0000  0.3724
Ho  0.0000  0.0000  0.6276
Ho  0.0000  0.0000  0.8738
Mg  0.5000  0.5000  0.0000
Mg  0.5000  0.5000  0.2472
Mg  0.5000  0.5000  0.7528
Tl  0.5000  0.5000  0.5000

Stability, highest: B

A.
Here is a relaxed structure of Ho3MgTl2 from Alexandria via LeMat-Bulk. Energies are from PBE-GGA.

Values from the calculation:
- Theoretical density: 9.59 g/cm³
- Total magnetization: 0.00 μB/f.u.

a = 3.7572 Å, b = 3.7572 Å, c = 11.3848 Å
α = 90.00°, β = 90.00°, γ = 90.00°
Positions (direct):
Ho  0.0000  0.0000  0.0000
Ho  0.0000  0.0000  0.3402
Ho  0.0000  0.0000  0.6598
Mg  0.5000  0.5000  0.5000
Tl  0.5000  0.5000  0.1749
Tl  0.5000  0.5000  0.8251

B.
Here is a relaxed structure of Ho3MgTl2 from Alexandria via LeMat-Bulk. Energies are from PBE-GGA.

Values from the calculation:
- Theoretical density: 9.61 g/cm³
- Total magnetization: 0.00 μB/f.u.

a = 8.1871 Å, b = 8.1871 Å, c = 4.0385 Å
α = 90.00°, β = 90.00°, γ = 143.69°
Positions (direct):
Ho  0.0000  0.0000  0.0000
Ho  0.3302  0.6698  0.0000
Ho  0.6698  0.3302  0.0000
Mg  0.5000  0.5000  0.5000
Tl  0.1567  0.8433  0.5000
Tl  0.8433  0.1567  0.5000

Stability, highest: B

A.
Here is a relaxed structure of Ho6MgTl5 from Alexandria via LeMat-Bulk. Energies are from PBE-GGA.

Values from the calculation:
- Theoretical density: 9.80 g/cm³
- Total magnetization: 0.00 μB/f.u.

a = 6.4036 Å, b = 6.4036 Å, c = 9.9651 Å
α = 96.19°, β = 96.19°, γ = 120.17°
Positions (direct):
Ho  0.0809  0.4164  0.7488
Ho  0.2480  0.2480  0.2504
Ho  0.4164  0.0809  0.7488
Ho  0.5836  0.9191  0.2512
Ho  0.7520  0.7520  0.7496
Ho  0.9191  0.5836  0.2512
Mg  0.5000  0.5000  0.0000
Tl  0.0000  0.0000  0.5000
Tl  0.1674  0.8326  0.0000
Tl  0.3340  0.6660  0.5000
Tl  0.6660  0.3340  0.5000
Tl  0.8326  0.1674  0.0000

B.
Here is a relaxed structure of Ho6MgTl5 from Alexandria via LeMat-Bulk. Energies are from PBE-GGA.

Values from the calculation:
- Theoretical density: 10.49 g/cm³
- Total magnetization: 0.00 μB/f.u.

a = 9.2669 Å, b = 9.2669 Å, c = 9.2669 Å
α = 146.46°, β = 132.28°, γ = 59.58°
Positions (direct):
Ho  0.0791  0.3315  0.7477
Ho  0.2442  0.0000  0.2442
Ho  0.4162  0.6685  0.7477
Ho  0.5838  0.3315  0.2523
Ho  0.7558  0.0000  0.7558
Ho  0.9209  0.6685  0.2523
Mg  0.5000  0.5000  0.0000
Tl  0.0000  0.5000  0.5000
Tl  0.1683  0.1683  0.0000
Tl  0.3425  0.8425  0.5000
Tl  0.6575  0.1575  0.5000
Tl  0.8317  0.8317  0.0000

Stability, highest: B